TiTlOs2 (SCAN, single point on PBEsol structure); energy relative to the elements = 242 meV/atom; space group = Fm-3m (225); final energy = -231.18 eV/cell
1.0
0.0000 3.1602 3.1602
3.1602 0.0000 3.1602
3.1602 3.1602 0.0000
Ti Tl Os
1 1 2
Direct
0.0000 0.0000 0.0000 Ti
0.5000 0.5000 0.5000 Tl
0.2500 0.2500 0.2500 Os
0.7500 0.7500 0.7500 Os

ZrTi2Os (SCAN, single point on PBEsol structure); energy relative to the elements = -306 meV/atom; space group = Fm-3m (225); final energy = -135.86 eV/cell
1.0
0.0000 3.1783 3.1783
3.1783 0.0000 3.1783
3.1783 3.1783 0.0000
Zr Ti Os
1 2 1
Direct
0.0000 0.0000 0.0000 Zr
0.2500 0.2500 0.2500 Ti
0.7500 0.7500 0.7500 Ti
0.5000 0.5000 0.5000 Os

ZrTi2Os2 (SCAN, single point on PBEsol structure); energy relative to the elements = -361 meV/atom; space group = I4/mmm (139); final energy = -208.33 eV/cell
1.0
-2.0041 2.0041 5.5144
2.0041 -2.0041 5.5144
2.0041 2.0041 -5.5144
Zr Ti Os
1 2 2
Direct
0.0000 0.0000 0.0000 Zr
0.2500 0.7500 0.5000 Ti
0.7500 0.2500 0.5000 Ti
0.3877 0.3877 0.0000 Os
0.6123 0.6123 0.0000 Os

ZrTiOs3 (SCAN, single point on PBEsol structure); energy relative to the elements = 901 meV/atom; space group = Pm-3m (221); final energy = -257.87 eV/cell
1.0
4.4782 0.0000 0.0000
0.0000 4.4782 0.0000
0.0000 0.0000 4.4782
Zr Ti Os
1 1 3
Direct
0.0000 0.0000 0.0000 Zr
0.5000 0.5000 0.5000 Ti
0.0000 0.5000 0.5000 Os
0.5000 0.0000 0.5000 Os
0.5000 0.5000 0.0000 Os

Tl2Os (SCAN, single point on PBEsol structure); energy relative to the elements = 1173 meV/atom; space group = P-3m1 (164); final energy = -213.08 eV/cell
1.0
4.8092 0.0000 0.0000
-2.4046 4.1649 0.0000
0.0000 0.0000 3.0632
Tl Os
2 1
Direct
0.3333 0.6667 0.2463 Tl
0.6667 0.3333 0.7537 Tl
0.0000 0.0000 0.5000 Os

TlOs (SCAN, single point on PBEsol structure); energy relative to the elements = 1370 meV/atom; energy above the most stable polymorph in this dataset = 769 meV/atom; space group = Cmcm (63); final energy = -283.00 eV/cell
1.0
2.3070 -2.3076 0.0000
2.3070 2.3076 0.0000
0.0000 0.0000 6.5272
Tl Os
2 2
Direct
0.0000 0.0000 0.0000 Tl
0.0000 0.0000 0.5000 Tl
0.4986 0.5014 0.7500 Os
0.5014 0.4986 0.2500 Os

TlOs (SCAN, single point on PBEsol structure); energy relative to the elements = 601 meV/atom; energy above the most stable polymorph in this dataset = 0 meV/atom; space group = P2_1/m (11); final energy = -286.07 eV/cell
1.0
2.8881 0.0000 0.0000
0.0000 2.9581 0.0000
-1.4483 0.0000 8.7847
Tl Os
2 2
Direct
0.0794 0.2500 0.1629 Tl
0.9206 0.7500 0.8371 Tl
0.2946 0.2500 0.5888 Os
0.7054 0.7500 0.4112 Os

Tl3Os2 (SCAN, single point on PBEsol structure); energy relative to the elements = 1092 meV/atom; space group = R-3m (166); final energy = -355.37 eV/cell
1.0
1.5277 0.8820 12.0457
-1.5277 0.8820 12.0457
0.0000 -1.7640 12.0457
Tl Os
3 2
Direct
0.0000 0.0000 0.0000 Tl
0.2092 0.2092 0.2092 Tl
0.7908 0.7908 0.7908 Tl
0.3933 0.3933 0.3933 Os
0.6067 0.6067 0.6067 Os

TlOs (SCAN, single point on PBEsol structure); energy relative to the elements = 2377 meV/atom; energy above the most stable polymorph in this dataset = 1775 meV/atom; space group = F-43m (216); final energy = -139.49 eV/cell
1.0
0.0000 3.0382 3.0382
3.0382 0.0000 3.0382
3.0382 3.0382 0.0000
Tl Os
1 1
Direct
0.0000 0.0000 0.0000 Tl
0.2500 0.2500 0.2500 Os

TlOs (SCAN, single point on PBEsol structure); energy relative to the elements = 698 meV/atom; energy above the most stable polymorph in this dataset = 97 meV/atom; space group = R-3m (166); final energy = -285.68 eV/cell
1.0
2.0137 1.1626 6.4873
-2.0137 1.1626 6.4873
0.0000 -2.3252 6.4873
Tl Os
2 2
Direct
0.1086 0.1086 0.1086 Tl
0.8914 0.8914 0.8914 Tl
0.3471 0.3471 0.3471 Os
0.6529 0.6529 0.6529 Os

TlOs (SCAN, single point on PBEsol structure); energy relative to the elements = 1264 meV/atom; energy above the most stable polymorph in this dataset = 663 meV/atom; space group = P6_3/mmc (194); final energy = -283.42 eV/cell
1.0
3.0302 0.0000 0.0000
-1.5151 2.6242 0.0000
0.0000 0.0000 8.8380
Tl Os
2 2
Direct
0.0000 0.0000 0.0000 Tl
0.0000 0.0000 0.5000 Tl
0.3333 0.6667 0.2500 Os
0.6667 0.3333 0.7500 Os

Tl2OsW (SCAN, single point on PBEsol structure); energy relative to the elements = 1250 meV/atom; energy above the most stable polymorph in this dataset = 745 meV/atom; space group = C2/m (12); final energy = -281.29 eV/cell
1.0
2.9367 -4.7600 0.0000
2.9367 4.7600 0.0000
-1.4485 0.0000 2.6218
Tl Os W
2 1 1
Direct
0.0000 0.5000 0.0000 Tl
0.5000 0.0000 0.0000 Tl
0.0000 0.0000 0.5000 Os
0.5000 0.5000 0.5000 W